# ErThPa2, relaxed, DFT PBE
data_ErThPa2
_cell_length_a 4.705
_cell_length_b 4.705
_cell_length_c 4.987
_cell_angle_alpha 90.00
_cell_angle_beta 90.00
_cell_angle_gamma 90.00
_space_group_name_H-M_alt 'P 4/m m m'
_space_group_IT_number 123
_space_group_name_Hall '-P 4 2'
loop_
_atom_site_label
_atom_site_type_symbol
_atom_site_fract_x
_atom_site_fract_y
_atom_site_fract_z
Er1 Er 0.000 0.000 0.000
Th1 Th 0.500 0.500 0.000
Pa1 Pa 0.000 0.500 0.500
# final energy: -7.56 eV per atom
# ΔE to the lowest computed polymorph: 0.007 eV/atom
# E_form: 0.75 eV/f.u.



# KLiS, relaxed, DFT PBE
data_KLiS
_cell_length_a 3.670
_cell_length_b 3.670
_cell_length_c 10.485
_cell_angle_alpha 90.00
_cell_angle_beta 90.00
_cell_angle_gamma 90.00
_space_group_name_H-M_alt 'I 4 m m'
_space_group_IT_number 107
_space_group_name_Hall 'I 4 -2'
loop_
_atom_site_label
_atom_site_type_symbol
_atom_site_fract_x
_atom_site_fract_y
_atom_site_fract_z
K1 K 0.000 0.000 0.000
Li1 Li 0.000 0.000 0.247
S1 S 0.000 0.000 0.705
# final energy: -3.26 eV per atom
# uncorrected formation energy: -2.6 eV per formula unit



# RbScPCl2, relaxed, DFT PBE
data_RbScPCl2
_cell_length_a 5.513
_cell_length_b 5.513
_cell_length_c 5.619
_cell_angle_alpha 90.00
_cell_angle_beta 90.00
_cell_angle_gamma 90.00
_space_group_name_H-M_alt 'P 4/m m m'
_space_group_IT_number 123
_space_group_name_Hall '-P 4 2'
loop_
_atom_site_label
_atom_site_type_symbol
_atom_site_fract_x
_atom_site_fract_y
_atom_site_fract_z
Rb1 Rb 0.000 0.000 0.000
Sc1 Sc 0.500 0.500 0.500
P1 P 0.000 0.000 0.500
Cl1 Cl 0.000 0.500 0.000
# final energy: -2.99 eV per atom
# uncorrected formation energy: 1.4 eV per formula unit
# ΔE to the lowest computed polymorph: 1.576 eV/atom



# PrZnCuAg, relaxed, DFT PBE
data_PrZnCuAg
_cell_length_a 6.839
_cell_length_b 6.839
_cell_length_c 6.839
_cell_angle_alpha 90.00
_cell_angle_beta 90.00
_cell_angle_gamma 90.00
_space_group_name_H-M_alt 'F -4 3 m'
_space_group_IT_number 216
_space_group_name_Hall 'F -4 2 3'
loop_
_atom_site_label
_atom_site_type_symbol
_atom_site_fract_x
_atom_site_fract_y
_atom_site_fract_z
Pr1 Pr 0.000 0.000 0.000
Zn1 Zn 0.250 0.250 0.250
Cu1 Cu 0.250 0.250 0.750
Ag1 Ag 0.000 0.000 0.500
# final energy: -3.41 eV per atom
# E_form: -0.64 eV/f.u.